#i
Material: Y2BeCoC
Method: DFT, PBE
State: relaxed

```
Y2BeCoC
1.0
-0.2744 -2.8419 4.0248
4.3857 1.6960 1.4966
-1.6377 2.6699 1.7736
Y Be C Co
2 1 1 1
direct
0.0000 0.5000 0.0000
0.5000 0.0000 0.0000
0.5000 0.5000 0.5000
0.0000 0.0000 0.0000
0.0000 0.0000 0.5000
```

## Properties
V, Å³/f.u.: 87.7

#ii
Material: Y2BeCoC
Method: DFT, PBE
State: relaxed

```
Y2BeCoC
1.0
4.9490 0.0000 0.0000
0.0000 4.9490 0.0000
0.0000 0.0000 3.3837
C Y Co Be
1 2 1 1
direct
0.0000 0.0000 0.0000
0.0000 0.5000 0.0000
0.5000 0.0000 0.0000
0.5000 0.5000 0.5000
0.0000 0.0000 0.5000
```

## Properties
V, Å³/f.u.: 82.9

The structure shown above that is most stable: #i.